(1)
Here is a crystal of Na4CoO3 relaxed with PBEsol from the Alexandria database. Energies are from meta-GGA SCAN.

```
16
Lattice="5.460 -2.853 0.000 5.460 2.853 0.000 -3.405 0.000 7.420" Properties=species:S:1:pos:R:3 pbc="T T T"
Na 3.758 1.955 3.710
Na 1.689 1.162 5.725
Na 5.904 0.931 1.284
Na 3.392 -1.162 2.016
Na 6.849 1.015 4.336
Na 4.202 -0.931 4.994
Na 5.460 -1.955 0.000
Na 8.551 -1.015 0.626
Co 1.161 0.933 2.772
Co -0.541 -0.933 6.482
O -0.268 0.045 2.206
O -1.971 -0.045 5.916
O 2.518 0.042 3.810
O 4.221 -0.042 0.100
O 5.640 0.281 6.186
O 7.343 -0.281 2.476
```

Values from the calculation:
Space group = Cc
ρ = 2.858 g cm⁻³


(2)
Here is a crystal of NaCoO3 relaxed with PBEsol from the Alexandria database. Energies are from meta-GGA SCAN.

```
5
Lattice="3.673 0.000 0.000 0.000 3.673 0.000 0.000 0.000 3.673" Properties=species:S:1:pos:R:3 pbc="T T T"
Na 0.000 0.000 0.000
Co 1.836 1.836 1.836
O 0.000 1.836 1.836
O 1.836 0.000 1.836
O 1.836 1.836 0.000
```

Values from the calculation:
Space group = Pm-3m
ρ = 4.355 g cm⁻³


(3)
Here is a crystal of Na2CoP2O7 relaxed with PBEsol from the Alexandria database. Energies are from meta-GGA SCAN.

```
24
Lattice="7.322 -2.911 0.000 7.322 2.911 0.000 -3.374 0.000 7.319" Properties=species:S:1:pos:R:3 pbc="T T T"
Na 2.349 0.825 2.198
Na 0.662 -0.825 5.857
Na 10.608 0.825 1.461
Na 8.921 -0.825 5.121
Co 0.000 0.000 0.000
Co -1.687 0.000 3.659
P 5.244 0.932 1.135
P 7.713 0.932 2.524
P 3.557 -0.932 4.795
P 6.026 -0.932 6.183
O 4.698 1.935 2.182
O 2.480 1.670 7.246
O 8.259 1.935 1.477
O 2.526 0.092 4.403
O 7.103 1.670 3.732
O 4.213 -0.092 0.743
O 6.479 0.140 1.830
O 4.791 -0.140 5.489
O 7.057 0.092 6.576
O 4.167 -1.670 3.586
O 8.744 -0.092 2.916
O 3.011 -1.935 5.842
O 8.790 -1.670 0.073
O 6.572 -1.935 5.136
```

Values from the calculation:
Space group = C2/c
ρ = 2.969 g cm⁻³


(4)
Here is a crystal of Na2CoP2O7 relaxed with PBEsol from the Alexandria database. Energies are from meta-GGA SCAN.

```
24
Lattice="7.761 0.000 0.000 0.000 7.761 0.000 0.000 0.000 5.068" Properties=species:S:1:pos:R:3 pbc="T T T"
Na 1.303 2.577 2.501
Na 2.577 6.457 2.568
Na 5.184 1.303 2.568
Na 6.457 5.184 2.501
Co 0.000 0.000 0.000
Co 3.880 3.880 0.000
P 1.081 4.961 4.716
P 2.800 1.081 0.352
P 4.961 6.680 0.352
P 6.680 2.800 4.716
O 0.000 3.880 4.141
O 0.623 6.260 4.016
O 1.086 4.966 1.150
O 1.500 0.623 1.053
O 2.380 4.503 4.016
O 2.794 1.086 3.919
O 3.257 2.380 1.053
O 3.880 0.000 0.927
O 4.503 5.381 1.053
O 4.966 6.674 3.919
O 5.381 3.257 4.016
O 6.260 7.138 1.053
O 6.674 2.794 1.150
O 7.138 1.500 4.016
```

Values from the calculation:
Space group = P-42_1m
ρ = 3.034 g cm⁻³


(5)
Here is a crystal of Na2CoP2O7 relaxed with PBEsol from the Alexandria database. Energies are from meta-GGA SCAN.

```
24
Lattice="5.208 0.000 0.000 1.601 6.294 0.000 2.563 2.684 8.505" Properties=species:S:1:pos:R:3 pbc="T T T"
Na 2.345 3.006 3.916
Na 4.785 5.743 6.714
Na 4.587 3.235 1.791
Na 7.026 5.972 4.590
Co 2.033 5.202 1.090
Co 7.339 3.776 7.415
P 1.984 1.721 0.981
P 4.443 5.993 3.076
P 4.928 2.985 5.429
P 7.388 7.257 7.525
O 0.703 0.922 0.651
O 1.643 3.160 1.360
O 3.204 5.113 2.798
O 3.654 3.530 6.052
O 2.531 1.157 2.392
O 4.560 6.348 4.540
O 3.721 4.666 0.047
O 5.650 4.312 8.458
O 4.812 2.631 3.965
O 6.841 7.821 6.113
O 5.718 5.448 2.453
O 6.167 3.866 5.708
O 7.729 5.818 7.146
O 8.669 8.056 7.855
```

Values from the calculation:
Space group = P-1
ρ = 3.321 g cm⁻³


(6)
Here is a crystal of NaCoP2O relaxed with PBEsol from the Alexandria database. Energies are from meta-GGA SCAN.

```
5
Lattice="4.190 0.000 0.000 0.000 4.190 0.000 0.000 0.000 4.297" Properties=species:S:1:pos:R:3 pbc="T T T"
Na 0.000 0.000 0.000
Co 2.095 2.095 2.148
P 0.000 2.095 2.148
P 2.095 0.000 2.148
O 2.095 2.095 0.000
```

Values from the calculation:
Space group = P4/mmm
ρ = 3.520 g cm⁻³


(7)
Here is a crystal of Na2CoP2O7 relaxed with PBEsol from the Alexandria database. Energies are from meta-GGA SCAN.

```
48
Lattice="5.174 0.000 0.000 0.000 13.501 0.000 -4.986 0.000 8.806" Properties=species:S:1:pos:R:3 pbc="T T T"
Na -1.432 1.462 3.194
Na -3.925 5.289 7.597
Na 1.401 2.758 1.228
Na -1.092 3.993 5.631
Na 1.281 9.509 3.176
Na -1.212 10.743 7.579
Na 4.114 8.212 1.209
Na 1.621 12.040 5.612
Co -3.478 2.267 6.474
Co -0.985 4.484 2.070
Co 1.173 9.018 6.736
Co 3.666 11.234 2.333
P -1.255 9.336 4.849
P 1.237 10.916 0.446
P -1.401 7.307 6.759
P 1.092 12.945 2.356
P -0.904 0.557 6.451
P 1.589 6.194 2.048
P -1.049 2.585 8.361
P 1.444 4.166 3.958
O -1.474 9.445 3.335
O -3.967 10.807 7.738
O -2.378 9.950 5.673
O 0.115 10.302 1.270
O -2.903 7.473 7.099
O -0.410 12.779 2.696
O -1.755 1.573 5.645
O 0.738 5.178 1.242
O -1.246 7.754 5.182
O 1.247 12.498 0.779
O -2.451 3.111 7.986
O 0.042 3.639 3.582
O 1.120 7.613 1.967
O -1.373 12.639 6.370
O 1.561 0.862 2.437
O -0.932 5.888 6.840
O 0.146 9.862 5.224
O 2.639 10.390 0.821
O -1.059 1.003 8.027
O 1.434 5.748 3.624
O -0.550 8.323 7.564
O 1.943 11.929 3.161
O 0.598 0.722 6.111
O 3.091 6.029 1.708
O 0.073 3.199 7.536
O 2.566 3.552 3.133
O 4.155 2.694 1.069
O 1.662 4.056 5.472
```

Values from the calculation:
Space group = P2_1/c
ρ = 3.011 g cm⁻³


(8)
Here is a crystal of Na2CoP2O7 relaxed with PBEsol from the Alexandria database. Energies are from meta-GGA SCAN.

```
48
Lattice="7.717 0.000 0.000 0.000 7.717 0.000 0.000 0.000 10.285" Properties=species:S:1:pos:R:3 pbc="T T T"
Na 1.115 1.115 0.000
Na 1.498 1.498 5.142
Na 2.360 5.357 0.000
Na 2.743 4.974 5.142
Na 4.974 2.743 5.142
Na 5.357 2.360 0.000
Na 6.218 6.218 5.142
Na 6.601 6.601 0.000
Co 0.000 3.858 2.571
Co 0.000 3.858 7.714
Co 3.858 0.000 2.571
Co 3.858 0.000 7.714
P 1.074 6.643 2.985
P 1.074 6.643 7.299
P 2.785 2.785 2.157
P 2.785 2.785 8.128
P 4.932 4.932 2.157
P 4.932 4.932 8.128
P 6.643 1.074 2.985
P 6.643 1.074 7.299
O 0.000 0.000 3.579
O 0.000 0.000 6.706
O 0.625 5.330 3.655
O 0.625 5.330 6.630
O 1.055 6.661 1.477
O 1.055 6.661 8.808
O 1.472 3.234 1.488
O 1.472 3.234 8.797
O 2.387 7.092 3.655
O 2.387 7.092 6.630
O 2.803 2.803 3.666
O 2.803 2.803 6.619
O 3.234 1.472 1.488
O 3.234 1.472 8.797
O 3.858 3.858 1.563
O 3.858 3.858 8.722
O 4.483 6.245 1.488
O 4.483 6.245 8.797
O 4.914 4.914 3.666
O 4.914 4.914 6.619
O 5.330 0.625 3.655
O 5.330 0.625 6.630
O 6.245 4.483 1.488
O 6.245 4.483 8.797
O 6.661 1.055 1.477
O 6.661 1.055 8.808
O 7.092 2.387 3.655
O 7.092 2.387 6.630
```

Values from the calculation:
Space group = P4_2/mnm
ρ = 3.024 g cm⁻³


(9)
Here is a crystal of Na2CoP2O7 relaxed with PBEsol from the Alexandria database. Energies are from meta-GGA SCAN.

```
24
Lattice="-3.898 6.888 3.479 3.898 -6.888 3.479 3.898 6.888 -3.479" Properties=species:S:1:pos:R:3 pbc="T T T"
Na 1.949 7.001 -1.740
Na 1.949 0.113 1.740
Na -1.949 6.775 1.740
Na 1.949 6.775 1.740
Co -1.949 3.444 1.740
Co 1.949 3.444 1.740
P 3.898 2.024 -0.293
P 3.898 4.863 -0.293
P 0.000 2.024 3.772
P 0.000 4.863 3.772
O 3.898 3.444 -1.066
O 3.898 -0.954 1.350
O 2.623 2.007 0.585
O 5.173 2.007 0.585
O 3.898 5.933 -1.350
O 2.623 4.881 0.585
O 1.275 -2.007 4.064
O 2.623 8.895 -0.585
O 1.275 2.007 2.894
O 0.000 0.954 4.829
O -1.275 4.881 2.894
O 1.275 4.881 2.894
O 0.000 7.842 2.129
O 0.000 3.444 4.545
```

Values from the calculation:
Space group = Imma
ρ = 2.479 g cm⁻³


(10)
Here is a crystal of Rb2Na4Co2O5 relaxed with PBEsol from the Alexandria database. Energies are from meta-GGA SCAN.

```
26
Lattice="6.419 0.000 0.000 0.000 6.419 0.000 0.000 0.000 10.095" Properties=species:S:1:pos:R:3 pbc="T T T"
Rb 1.261 1.261 0.000
Rb 1.948 4.471 5.047
Rb 4.471 1.948 5.047
Rb 5.158 5.158 0.000
Na 0.000 0.000 2.797
Na 0.000 0.000 7.298
Na 0.000 3.209 2.524
Na 0.000 3.209 7.571
Na 3.209 0.000 2.524
Na 3.209 0.000 7.571
Na 3.209 3.209 2.250
Na 3.209 3.209 7.844
Co 1.346 1.346 5.047
Co 1.864 4.555 0.000
Co 4.555 1.864 0.000
Co 5.073 5.073 5.047
O 0.000 0.000 5.047
O 1.422 4.997 1.674
O 1.422 4.997 8.421
O 1.787 1.787 3.373
O 1.787 1.787 6.721
O 3.209 3.209 0.000
O 4.632 4.632 3.373
O 4.632 4.632 6.721
O 4.997 1.422 1.674
O 4.997 1.422 8.421
```

Values from the calculation:
Space group = P4_2/mnm
ρ = 3.679 g cm⁻³


(11)
Here is a crystal of Na3Co2SbO6 relaxed with PBEsol from the Alexandria database. Energies are from meta-GGA SCAN.

```
12
Lattice="2.698 -4.530 0.000 2.698 4.530 0.000 -1.764 0.000 5.348" Properties=species:S:1:pos:R:3 pbc="T T T"
Na 0.000 0.000 0.000
Na 2.698 1.601 0.000
Na 2.698 -1.601 0.000
Co 1.816 3.096 2.674
Co 1.816 -3.096 2.674
Sb 1.816 0.000 2.674
O 0.956 1.456 1.581
O 0.120 0.000 3.795
O 0.956 -1.456 1.581
O 2.675 1.456 3.767
O 3.511 0.000 1.553
O 2.675 -1.456 3.767
```

Values from the calculation:
Space group = C2/m
ρ = 5.139 g cm⁻³


(12)
Here is a crystal of Na2SrV2CoO8 relaxed with PBEsol from the Alexandria database. Energies are from meta-GGA SCAN.

```
56
Lattice="13.518 0.000 0.000 0.000 5.435 0.000 -0.043 0.000 9.468" Properties=species:S:1:pos:R:3 pbc="T T T"
Na 1.101 0.107 1.406
Na 1.080 2.611 6.140
Na 5.642 2.844 3.040
Na 5.621 5.309 7.774
Na 7.854 0.127 1.694
Na 7.833 2.591 6.428
Na 12.395 2.825 3.328
Na 12.374 5.328 8.062
Sr 3.376 0.302 4.368
Sr 3.355 2.415 9.102
Sr 10.121 3.020 0.366
Sr 10.099 5.133 5.100
V 1.806 2.877 3.007
V 1.785 5.275 7.741
V 4.910 2.804 6.172
V 4.932 5.349 1.438
V 8.544 0.086 8.030
V 8.565 2.632 3.296
V 11.691 0.160 1.727
V 11.669 2.558 6.461
Co -0.021 0.000 4.734
Co 0.000 2.718 0.000
Co 6.738 0.000 4.734
Co 6.759 2.718 0.000
O 0.969 1.119 8.564
O 0.991 1.598 3.830
O 1.049 3.819 8.275
O 1.070 4.334 3.541
O 1.548 2.772 1.294
O 1.527 5.380 6.028
O 3.319 0.332 1.761
O 3.298 2.385 6.495
O 3.430 2.870 3.484
O 3.408 5.283 8.218
O 5.187 3.761 0.786
O 5.165 4.391 5.520
O 5.672 1.095 0.424
O 5.651 1.623 5.158
O 5.730 2.766 7.688
O 5.751 5.387 2.954
O 7.724 0.049 6.514
O 7.745 2.669 1.780
O 7.824 3.812 4.310
O 7.803 4.341 9.044
O 8.310 1.044 3.948
O 8.288 1.674 8.682
O 10.067 0.152 1.250
O 10.045 2.565 5.983
O 10.177 3.050 2.973
O 10.156 5.103 7.707
O 11.949 0.055 3.440
O 11.927 2.663 8.174
O 12.405 1.101 5.926
O 12.426 1.616 1.193
O 12.484 3.837 5.638
O 12.506 4.316 0.904
```

Values from the calculation:
Space group = P2_1/c
ρ = 4.033 g cm⁻³


Going through the records in order, we get energy relative to the elements, uncorrected values of -1.41 -1.03 -2.27 -2.29 -2.29 0.14 -2.29 -2.29 -2.23 -1.39 -1.64 -2.52 eV per atom.